1.
The following is a DFT calculation (PBE-GGA) of K2CuBO4 after structural relaxation.

Cell lengths 4.818, 10.911, 19.483 Å; angles 90.00, 90.00, 90.00 degrees
Space group Fddd (No. 70, origin choice 2)
Asymmetric unit:
K1 0.125 0.125 0.300 x16
Cu1 0.125 0.125 0.125 x8
B1 0.125 0.125 0.625 x8
O1 0.068 0.298 0.833 x32

Computed properties:
ΔE_f (raw) = -1.452 eV per atom
Mass density = 2.81 g/cm³

2.
The following is a DFT calculation (PBE-GGA) of K2B4S5 after structural relaxation.

Cell lengths 7.359, 6.088, 10.583 Å; angles 90.00, 109.68, 90.00 degrees
Space group C2/m (No. 12)
Asymmetric unit:
K1 0.067 0.000 0.382 x4
B1 0.109 0.500 0.718 x4
B2 0.110 0.500 0.250 x4
S1 0.000 0.500 0.500 x2
S2 0.229 0.257 0.200 x8

Computed properties:
ΔE_f (raw) = -0.117 eV per atom
Mass density = 2.10 g/cm³